[1]
Below is an optimized crystal structure of Sc2In2BRh4, with properties calculated at the GGA-PBE level.

Unit cell a=6.0224 b=6.0224 c=8.0740 alpha=90.00 beta=90.00 gamma=90.00
Closest atoms and distances in Å follow each position.
Space group I4/mmm (No. 139)
One atom of each set of equivalent atoms:
Sc (0.0000, 0.0000, 0.2024) x4  1 B 2.40
In (0.0000, 0.5000, 0.2500) x4  8 Rh 2.93, 4 Sc 3.04
B (0.0000, 0.0000, 0.5000) x2  4 Rh 2.07
Rh (0.2434, 0.2434, 0.5000) x8  1 B 2.07

## Properties
ΔE_f in kJ/mol of formula units: -538



[2]
Below is an optimized crystal structure of Sm2InB2Rh5, with properties calculated at the GGA-PBE level.

Unit cell a=9.7682 b=9.7682 c=3.2503 alpha=90.00 beta=90.00 gamma=90.00
Closest atoms and distances in Å follow each position.
Space group P4/mbm (No. 127)
One atom of each set of equivalent atoms:
Sm (0.1767, 0.3233, 0.0000) x4  3 B 2.80-2.95, 10 Rh 2.93-3.05
In (0.0000, 0.0000, 0.0000) x2  8 Rh 2.84
B (0.1203, 0.6203, 0.0000) x4  6 Rh 2.25-2.32
Rh (0.0000, 0.5000, 0.5000) x2  4 B 2.32
Rh (0.0701, 0.7716, 0.5000) x8  2 B 2.25

## Properties
ΔE_f in kJ/mol of formula units: -693



[3]
Below is an optimized crystal structure of InSn2B2Rh5, with properties calculated at the GGA-PBE level.

Unit cell a=9.6552 b=9.6552 c=3.1481 alpha=90.00 beta=90.00 gamma=90.00
Closest atoms and distances in Å follow each position.
Space group P4/mbm (No. 127)
One atom of each set of equivalent atoms:
In (0.0000, 0.0000, 0.0000) x2  8 Rh 2.77
Sn (0.1769, 0.3231, 0.0000) x4  3 B 2.74-2.94, 10 Rh 2.88-3.03
B (0.1223, 0.6223, 0.0000) x4  6 Rh 2.21-2.29
Rh (0.0000, 0.5000, 0.5000) x2  4 B 2.29
Rh (0.0726, 0.7749, 0.5000) x8  2 B 2.21

## Properties
ΔE_f in kJ/mol of formula units: -257



[4]
Below is an optimized crystal structure of TbInB2Rh5, with properties calculated at the GGA-PBE level.

Unit cell a=4.1863 b=4.1863 c=7.7955 alpha=90.00 beta=90.00 gamma=90.00
Closest atoms and distances in Å follow each position.
Space group P4/mmm (No. 123)
One atom of each set of equivalent atoms:
Tb (0.0000, 0.0000, 0.0000) x1  12 Rh 2.96-2.97
In (0.0000, 0.0000, 0.5000) x1  8 Rh 2.76
B (0.5000, 0.5000, 0.2780) x2  5 Rh 2.09-2.17
Rh (0.0000, 0.5000, 0.2697) x4  2 B 2.09
Rh (0.5000, 0.5000, 0.0000) x1  2 B 2.17

## Properties
ΔE_f in kJ/mol of formula units: -438



[5]
Below is an optimized crystal structure of Tb2InB2Rh5, with properties calculated at the GGA-PBE level.

Unit cell a=9.6828 b=9.6828 c=3.2341 alpha=90.00 beta=90.00 gamma=90.00
Closest atoms and distances in Å follow each position.
Space group P4/mbm (No. 127)
One atom of each set of equivalent atoms:
Tb (0.1759, 0.3241, 0.0000) x4  3 B 2.78-2.92, 10 Rh 2.90-3.03
In (0.0000, 0.0000, 0.0000) x2  8 Rh 2.81
B (0.1210, 0.6210, 0.0000) x4  6 Rh 2.24-2.32
Rh (0.0000, 0.5000, 0.5000) x2  4 B 2.32
Rh (0.0705, 0.7731, 0.5000) x8  2 B 2.24

## Properties
ΔE_f in kJ/mol of formula units: -753



[6]
Below is an optimized crystal structure of Tb2In2BRh4, with properties calculated at the GGA-PBE level.

Unit cell a=6.2583 b=6.2583 c=8.1531 alpha=90.00 beta=90.00 gamma=90.00
Closest atoms and distances in Å follow each position.
Space group I4/mmm (No. 139)
One atom of each set of equivalent atoms:
Tb (0.0000, 0.5000, 0.2500) x4  8 Rh 3.01, 4 In 3.16
In (0.0000, 0.0000, 0.1982) x4  1 B 2.46
B (0.0000, 0.0000, 0.5000) x2  4 Rh 2.11
Rh (0.2381, 0.2381, 0.5000) x8  1 B 2.11

## Properties
ΔE_f in kJ/mol of formula units: -494